Entry 1:
Ni2PtRhSe6 (PBE-GGA, optimized geometry); raw formation energy = -0.277 eV/atom; SG = No. 15
1.0
6.423 -0.245 -0.255
1.688 7.837 0.258
1.688 -0.033 7.842
Ni Pt Rh Se
4 2 2 12
Direct
0.182 0.778 0.593
0.318 0.407 0.222
0.818 0.222 0.407
0.682 0.593 0.778
0.250 0.264 0.736
0.750 0.736 0.264
0.250 0.910 0.090
0.750 0.090 0.910
0.130 0.974 0.801
0.370 0.199 0.026
0.870 0.026 0.199
0.630 0.801 0.974
0.377 0.900 0.364
0.123 0.636 0.100
0.623 0.100 0.636
0.877 0.364 0.900
0.896 0.678 0.540
0.604 0.460 0.322
0.104 0.322 0.460
0.396 0.540 0.678

Entry 2:
Ac3IrAu (PBE-GGA, optimized geometry); ΔH_f (0 K) = -3.42 eV per formula unit; SG = No. 63
1.0
-0.684 -3.888 -1.836
4.830 -0.994 5.467
-8.428 -1.873 7.104
Ac Ir Au
6 2 2
Direct
0.080 0.159 0.750
0.920 0.841 0.250
0.365 0.729 0.563
0.635 0.271 0.437
0.635 0.271 0.063
0.365 0.729 0.937
0.000 0.000 0.500
0.000 0.000 0.000
0.251 0.502 0.250
0.749 0.498 0.750

One value per record, in order, for total magnetic moment: 0.000, 0.000 μB/cell.